# 1
# MnAg2Au, single point on PBEsol structure, DFT SCAN
data_MnAg2Au
_chemical_formula_sum 'Mn1 Ag2 Au1'
_cell_length_a 3.035
_cell_length_b 3.536
_cell_length_c 6.015
_cell_angle_alpha 90.00
_cell_angle_beta 90.00
_cell_angle_gamma 90.00
_space_group_name_H-M_alt 'P m m 2'
_space_group_IT_number 25
loop_
_space_group_symop_operation_xyz
'x,y,z'
'-x,-y,z'
'-x,y,z'
'x,-y,z'
loop_
_atom_site_label
_atom_site_fract_x
_atom_site_fract_y
_atom_site_fract_z
Mn1 0.000 0.000 0.000
Ag1 0.000 0.000 0.504
Ag2 0.500 0.500 0.250
Au1 0.500 0.500 0.771
# DOS(E_F)   0.35 states/eV per atom
# Calculated formation energy   -0.170 eV per atom

---

# 2
# Cs2RbAu2, single point on PBEsol structure, DFT SCAN
data_Cs2RbAu2
_chemical_formula_sum 'Cs4 Rb2 Au4'
_cell_length_a 5.359
_cell_length_b 5.359
_cell_length_c 14.594
_cell_angle_alpha 90.00
_cell_angle_beta 90.00
_cell_angle_gamma 90.00
_space_group_name_H-M_alt 'I 4/m m m'
_space_group_IT_number 139
_space_group_name_Hall '-I 4 2'
loop_
_atom_site_label
_atom_site_fract_x
_atom_site_fract_y
_atom_site_fract_z
Cs1 0.000 0.500 0.250
Rb1 0.000 0.000 0.000
Au1 0.000 0.000 0.406
# DOS(E_F)   0.60 states/eV per atom
# Calculated formation energy   -0.250 eV per atom
# Excess energy over the best structure of this formula in the dataset   0.039 eV per atom

---

# 3
# KMgSiF2, single point on PBEsol structure, DFT SCAN
data_KMgSiF2
_chemical_formula_sum 'K1 Mg1 Si1 F2'
_cell_length_a 4.365
_cell_length_b 4.365
_cell_length_c 6.360
_cell_angle_alpha 90.00
_cell_angle_beta 90.00
_cell_angle_gamma 90.00
_space_group_name_H-M_alt 'P 4/m m m'
_space_group_IT_number 123
_space_group_name_Hall '-P 4 2'
loop_
_atom_site_label
_atom_site_fract_x
_atom_site_fract_y
_atom_site_fract_z
K1 0.000 0.000 0.000
Mg1 0.500 0.500 0.000
Si1 0.000 0.000 0.500
F1 0.000 0.500 0.500
# Energy relative to the elements, uncorrected   -0.573 eV/atom
# DOS(E_F)   0.33 states/eV per atom

---

# 4
# Zr2CrHg, single point on PBEsol structure, DFT SCAN
data_Zr2CrHg
_chemical_formula_sum 'Zr4 Cr2 Hg2'
_cell_length_a 3.172
_cell_length_b 4.882
_cell_length_c 9.819
_cell_angle_alpha 90.00
_cell_angle_beta 90.00
_cell_angle_gamma 90.00
_space_group_name_H-M_alt 'I m m 2'
_space_group_IT_number 44
loop_
_space_group_symop_operation_xyz
'x,y,z'
'-x,-y,z'
'-x,y,z'
'x,-y,z'
'x+1/2,y+1/2,z+1/2'
'-x+1/2,-y+1/2,z+1/2'
'-x+1/2,y+1/2,z+1/2'
'x+1/2,-y+1/2,z+1/2'
loop_
_atom_site_label
_atom_site_fract_x
_atom_site_fract_y
_atom_site_fract_z
Zr1 0.000 0.000 0.000
Zr2 0.000 0.500 0.221
Cr1 0.000 0.000 0.500
Hg1 0.000 0.500 0.772
# DOS(E_F)   0.82 states/eV per atom
# Calculated formation energy   -0.018 eV per atom
# Excess energy over the best structure of this formula in the dataset   0.127 eV per atom

---

# 5
# NaTaH2, single point on PBEsol structure, DFT SCAN
data_NaTaH2
_chemical_formula_sum 'Na4 Ta4 H8'
_cell_length_a 5.440
_cell_length_b 5.440
_cell_length_c 5.440
_cell_angle_alpha 90.00
_cell_angle_beta 90.00
_cell_angle_gamma 90.00
_space_group_name_H-M_alt 'F m -3 m'
_space_group_IT_number 225
_space_group_name_Hall '-F 4 2 3'
loop_
_atom_site_label
_atom_site_fract_x
_atom_site_fract_y
_atom_site_fract_z
Na1 0.000 0.000 0.000
Ta1 0.000 0.000 0.500
H1 0.250 0.250 0.250
# DOS(E_F)   0.40 states/eV per atom
# Uncorrected energy   -292.637 eV per cell

---

# 6
# NiP4O11, single point on PBEsol structure, DFT SCAN
data_NiP4O11
_chemical_formula_sum 'Ni4 P16 O44'
_cell_length_a 9.051
_cell_length_b 9.077
_cell_length_c 10.589
_cell_angle_alpha 108.80
_cell_angle_beta 108.07
_cell_angle_gamma 91.12
_space_group_name_H-M_alt 'P -1'
_space_group_IT_number 2
loop_
_space_group_symop_operation_xyz
'x,y,z'
'-x,-y,-z'
loop_
_atom_site_label
_atom_site_fract_x
_atom_site_fract_y
_atom_site_fract_z
Ni1 0.230 0.272 0.004
Ni2 0.256 0.782 0.518
P1 0.087 0.899 0.257
P2 0.090 0.227 0.415
P3 0.093 0.452 0.255
P4 0.240 0.572 0.891
P5 0.261 0.919 0.055
P6 0.412 0.107 0.786
P7 0.437 0.250 0.573
P8 0.443 0.594 0.728
O1 0.031 0.757 0.519
O2 0.063 0.083 0.275
O3 0.064 0.206 0.813
O4 0.083 0.336 0.115
O5 0.087 0.518 0.756
O6 0.131 0.370 0.375
O7 0.178 0.864 0.143
O8 0.194 0.038 0.996
O9 0.199 0.603 0.325
O10 0.200 0.910 0.396
O11 0.247 0.509 0.004
O12 0.251 0.222 0.528
O13 0.261 0.759 0.936
O14 0.286 0.978 0.685
O15 0.312 0.650 0.638
O16 0.373 0.524 0.825
O17 0.388 0.233 0.906
O18 0.404 0.309 0.186
O19 0.437 0.974 0.151
O20 0.480 0.432 0.629
O21 0.490 0.195 0.704
O22 0.494 0.824 0.537
# Energy relative to the elements, uncorrected   -2.203 eV/atom
# DOS(E_F)   0.00 states/eV per atom
# Excess energy over the best structure of this formula in the dataset   0.004 eV per atom

---

# 7
# CdAgAsRu2, single point on PBEsol structure, DFT SCAN
data_CdAgAsRu2
_chemical_formula_sum 'Cd1 Ag1 As1 Ru2'
_cell_length_a 4.785
_cell_length_b 4.785
_cell_length_c 4.826
_cell_angle_alpha 90.00
_cell_angle_beta 90.00
_cell_angle_gamma 90.00
_space_group_name_H-M_alt 'P 4/m m m'
_space_group_IT_number 123
_space_group_name_Hall '-P 4 2'
loop_
_atom_site_label
_atom_site_fract_x
_atom_site_fract_y
_atom_site_fract_z
Cd1 0.000 0.000 0.000
Ag1 0.000 0.000 0.500
As1 0.500 0.500 0.000
Ru1 0.000 0.500 0.500
# DOS(E_F)   0.73 states/eV per atom
# Calculated formation energy   1.778 eV per atom

---

# 8
# Re5Ir, single point on PBEsol structure, DFT SCAN
data_Re5Ir
_chemical_formula_sum 'Re10 Ir2'
_cell_length_a 10.009
_cell_length_b 2.742
_cell_length_c 6.499
_cell_angle_alpha 90.00
_cell_angle_beta 104.08
_cell_angle_gamma 90.00
_space_group_name_H-M_alt 'C 1 m 1'
_space_group_IT_number 8
loop_
_space_group_symop_operation_xyz
'x,y,z'
'x,-y,z'
'x+1/2,y+1/2,z'
'x+1/2,-y+1/2,z'
loop_
_atom_site_label
_atom_site_fract_x
_atom_site_fract_y
_atom_site_fract_z
Re1 0.000 0.000 0.000
Re2 0.056 0.000 0.613
Re3 0.221 0.500 0.948
Re4 0.331 0.000 0.668
Re5 0.388 0.000 0.281
Ir1 0.166 0.500 0.337
# DOS(E_F)   0.62 states/eV per atom
# Calculated formation energy   -0.148 eV per atom
# Excess energy over the best structure of this formula in the dataset   0.008 eV per atom

---

# 9
# LaSbAs2, single point on PBEsol structure, DFT SCAN
data_LaSbAs2
_chemical_formula_sum 'La1 Sb1 As2'
_cell_length_a 4.224
_cell_length_b 4.258
_cell_length_c 6.029
_cell_angle_alpha 90.00
_cell_angle_beta 110.46
_cell_angle_gamma 90.00
_space_group_name_H-M_alt 'P 1 m 1'
_space_group_IT_number 6
loop_
_space_group_symop_operation_xyz
'x,y,z'
'x,-y,z'
loop_
_atom_site_label
_atom_site_fract_x
_atom_site_fract_y
_atom_site_fract_z
La1 0.000 0.000 0.000
Sb1 0.117 0.500 0.461
As1 0.451 0.500 0.911
As2 0.694 0.000 0.428
# Energy relative to the elements, uncorrected   -0.886 eV/atom
# DOS(E_F)   0.13 states/eV per atom

---

# 10
# Zr2ZnIn, single point on PBEsol structure, DFT SCAN
data_Zr2ZnIn
_chemical_formula_sum 'Zr2 Zn1 In1'
_cell_length_a 3.047
_cell_length_b 3.047
_cell_length_c 8.346
_cell_angle_alpha 90.00
_cell_angle_beta 90.00
_cell_angle_gamma 90.00
_space_group_name_H-M_alt 'P 4/m m m'
_space_group_IT_number 123
_space_group_name_Hall '-P 4 2'
loop_
_atom_site_label
_atom_site_fract_x
_atom_site_fract_y
_atom_site_fract_z
Zr1 0.000 0.000 0.227
Zn1 0.500 0.500 0.000
In1 0.500 0.500 0.500
# DOS(E_F)   0.91 states/eV per atom
# Calculated formation energy   -0.390 eV per atom

---

# 11
# LaAsBr2, single point on PBEsol structure, DFT SCAN
data_LaAsBr2
_chemical_formula_sum 'La3 As3 Br6'
_cell_length_a 3.5339
_cell_length_b 3.5339
_cell_length_c 30.6998
_cell_angle_alpha 90.00
_cell_angle_beta 90.00
_cell_angle_gamma 120.00
_space_group_name_H-M_alt 'R -3 m'
_space_group_IT_number 166
_space_group_name_Hall '-R 3 2"'
loop_
_atom_site_label
_atom_site_fract_x
_atom_site_fract_y
_atom_site_fract_z
La1 0.0000 0.0000 0.0000
As1 0.0000 0.0000 0.5000
Br1 0.0000 0.0000 0.0923
# Energy relative to the elements, uncorrected   -0.117 eV/atom
# DOS(E_F)   0.66 states/eV per atom

---

# 12
# TiZnBi3, single point on PBEsol structure, DFT SCAN
data_TiZnBi3
_chemical_formula_sum 'Ti1 Zn1 Bi3'
_cell_length_a 5.262
_cell_length_b 5.262
_cell_length_c 5.262
_cell_angle_alpha 90.00
_cell_angle_beta 90.00
_cell_angle_gamma 90.00
_space_group_name_H-M_alt 'P m -3 m'
_space_group_IT_number 221
_space_group_name_Hall '-P 4 2 3'
loop_
_atom_site_label
_atom_site_fract_x
_atom_site_fract_y
_atom_site_fract_z
Ti1 0.000 0.000 0.000
Zn1 0.500 0.500 0.500
Bi1 0.000 0.500 0.500
# DOS(E_F)   0.69 states/eV per atom
# Calculated formation energy   0.719 eV per atom

---

Table of spin magnetization (μB per atom), in record order: 1.0800; 0.0000; 0.1305; 0.5571; 0.0018; 0.1258; 0.8739; 0.0000; 0.0000; 0.0001; 0.0000; 0.4873